# 1
# Tb2Nd5Y PBE optimized geometry
data_Tb2Nd5Y
_symmetry_space_group_name_H-M 'P 1'
_symmetry_Int_Tables_number 1
_cell_length_a 7.2724
_cell_length_b 14.5565
_cell_length_c 5.1491
_cell_angle_alpha 90.00
_cell_angle_beta 90.00
_cell_angle_gamma 90.00
loop_
_symmetry_equiv_pos_as_xyz
'x,y,z'
loop_
_atom_site_label
_atom_site_type_symbol
_atom_site_fract_x
_atom_site_fract_y
_atom_site_fract_z
Tb1 Tb 0.2493 0.1243 0.0000
Tb2 Tb 0.2507 0.6243 0.0000
Tb3 Tb 0.7493 0.3757 0.0000
Tb4 Tb 0.7507 0.8757 0.0000
Nd1 Nd 0.0000 0.0000 0.5000
Nd2 Nd 0.0011 0.7494 0.5000
Nd3 Nd 0.2490 0.3755 0.0000
Nd4 Nd 0.2510 0.8755 0.0000
Nd5 Nd 0.4989 0.2494 0.5000
Nd6 Nd 0.5000 0.5000 0.5000
Nd7 Nd 0.5011 0.7506 0.5000
Nd8 Nd 0.7490 0.1245 0.0000
Nd9 Nd 0.7510 0.6245 0.0000
Nd10 Nd 0.9989 0.2506 0.5000
Y1 Y 0.0000 0.5000 0.5000
Y2 Y 0.5000 0.0000 0.5000
# raw total energy = -4.93 eV/atom
# spin magnetization = 0.000 μB per formula unit
# space group = Pbam (55)

---

# 2
# Tb4Nd2Y3 PBE optimized geometry
data_Tb4Nd2Y3
_symmetry_space_group_name_H-M 'P 1'
_symmetry_Int_Tables_number 1
_cell_length_a 10.2465
_cell_length_b 10.2465
_cell_length_c 6.0249
_cell_angle_alpha 95.84
_cell_angle_beta 95.84
_cell_angle_gamma 69.69
loop_
_symmetry_equiv_pos_as_xyz
'x,y,z'
loop_
_atom_site_label
_atom_site_type_symbol
_atom_site_fract_x
_atom_site_fract_y
_atom_site_fract_z
Tb1 Tb 0.0451 0.8311 0.9556
Tb2 Tb 0.1601 0.3772 0.1258
Tb3 Tb 0.1689 0.9549 0.5444
Tb4 Tb 0.3772 0.1601 0.6258
Tb5 Tb 0.6228 0.8399 0.3742
Tb6 Tb 0.8311 0.0451 0.4556
Tb7 Tb 0.8399 0.6228 0.8742
Tb8 Tb 0.9549 0.1689 0.0444
Nd1 Nd 0.2819 0.5079 0.7178
Nd2 Nd 0.4921 0.7181 0.7822
Nd3 Nd 0.5079 0.2819 0.2178
Nd4 Nd 0.7181 0.4921 0.2822
Y1 Y 0.0145 0.3155 0.5861
Y2 Y 0.3155 0.0145 0.0861
Y3 Y 0.3497 0.6503 0.2500
Y4 Y 0.6503 0.3497 0.7500
Y5 Y 0.6845 0.9855 0.9139
Y6 Y 0.9855 0.6845 0.4139
# raw total energy = -5.18 eV/atom
# spin magnetization = 0.000 μB per formula unit
# space group = C2/c (15)

---

# 3
# TbNd4Y3 PBE optimized geometry
data_TbNd4Y3
_symmetry_space_group_name_H-M 'P 1'
_symmetry_Int_Tables_number 1
_cell_length_a 11.6450
_cell_length_b 7.3662
_cell_length_c 6.3559
_cell_angle_alpha 90.00
_cell_angle_beta 90.00
_cell_angle_gamma 90.00
loop_
_symmetry_equiv_pos_as_xyz
'x,y,z'
loop_
_atom_site_label
_atom_site_type_symbol
_atom_site_fract_x
_atom_site_fract_y
_atom_site_fract_z
Tb1 Tb 0.0000 0.1236 0.0000
Tb2 Tb 0.5000 0.8764 0.5000
Nd1 Nd 0.0000 0.3732 0.5028
Nd2 Nd 0.0000 0.6270 0.0017
Nd3 Nd 0.2500 0.3738 0.8340
Nd4 Nd 0.2500 0.6262 0.3340
Nd5 Nd 0.5000 0.3730 0.5017
Nd6 Nd 0.5000 0.6268 0.0028
Nd7 Nd 0.7500 0.3738 0.8340
Nd8 Nd 0.7500 0.6262 0.3340
Y1 Y 0.0000 0.8780 0.4998
Y2 Y 0.2502 0.1223 0.3345
Y3 Y 0.2498 0.8777 0.8345
Y4 Y 0.5000 0.1220 0.9998
Y5 Y 0.7498 0.1223 0.3345
Y6 Y 0.7502 0.8777 0.8345
# raw total energy = -5.36 eV/atom
# spin magnetization = 0.000 μB per formula unit
# energy above the lowest structure with this stoichiometry = 0 meV per atom
# space group = Pmn2_1 (31)

---

# 4
# TbNd3Y7 PBE optimized geometry
data_TbNd3Y7
_symmetry_space_group_name_H-M 'P 1'
_symmetry_Int_Tables_number 1
_cell_length_a 6.9694
_cell_length_b 5.5698
_cell_length_c 10.1231
_cell_angle_alpha 90.00
_cell_angle_beta 109.07
_cell_angle_gamma 90.00
loop_
_symmetry_equiv_pos_as_xyz
'x,y,z'
loop_
_atom_site_label
_atom_site_type_symbol
_atom_site_fract_x
_atom_site_fract_y
_atom_site_fract_z
Tb1 Tb 0.0000 0.0000 0.0000
Nd1 Nd 0.2195 0.5000 0.5042
Nd2 Nd 0.5000 0.0000 0.0000
Nd3 Nd 0.7805 0.5000 0.4958
Y1 Y 0.0753 0.0000 0.6710
Y2 Y 0.1817 0.5000 0.8654
Y3 Y 0.3509 0.5000 0.2126
Y4 Y 0.5000 0.0000 0.5000
Y5 Y 0.6491 0.5000 0.7874
Y6 Y 0.8183 0.5000 0.1346
Y7 Y 0.9247 0.0000 0.3290
# raw total energy = -5.69 eV/atom
# spin magnetization = 0.000 μB per formula unit
# energy above the lowest structure with this stoichiometry = 0 meV per atom
# space group = P2/m (10)

---

# 5
# Tb5Nd2Y2 PBE optimized geometry
data_Tb5Nd2Y2
_symmetry_space_group_name_H-M 'P 1'
_symmetry_Int_Tables_number 1
_cell_length_a 8.0300
_cell_length_b 8.0300
_cell_length_c 8.0238
_cell_angle_alpha 107.45
_cell_angle_beta 107.45
_cell_angle_gamma 36.86
loop_
_symmetry_equiv_pos_as_xyz
'x,y,z'
loop_
_atom_site_label
_atom_site_type_symbol
_atom_site_fract_x
_atom_site_fract_y
_atom_site_fract_z
Tb1 Tb 0.0000 0.0000 0.0000
Tb2 Tb 0.2215 0.2215 0.3318
Tb3 Tb 0.3334 0.3334 0.9996
Tb4 Tb 0.6666 0.6666 0.0004
Tb5 Tb 0.7785 0.7785 0.6682
Nd1 Nd 0.1121 0.1121 0.6679
Nd2 Nd 0.8879 0.8879 0.3321
Y1 Y 0.4436 0.4436 0.6680
Y2 Y 0.5564 0.5564 0.3320
# raw total energy = -5.05 eV/atom
# spin magnetization = 0.000 μB per formula unit
# energy above the lowest structure with this stoichiometry = 0 meV per atom
# space group = C2/m (12)

---

# 6
# TbNd2Y PBE optimized geometry
data_TbNd2Y
_symmetry_space_group_name_H-M 'P 1'
_symmetry_Int_Tables_number 1
_cell_length_a 5.7650
_cell_length_b 5.7650
_cell_length_c 5.7650
_cell_angle_alpha 60.00
_cell_angle_beta 60.00
_cell_angle_gamma 60.00
loop_
_symmetry_equiv_pos_as_xyz
'x,y,z'
loop_
_atom_site_label
_atom_site_type_symbol
_atom_site_fract_x
_atom_site_fract_y
_atom_site_fract_z
Tb1 Tb 0.0000 0.0000 0.0000
Nd1 Nd 0.2500 0.2500 0.2500
Nd2 Nd 0.7500 0.7500 0.7500
Y1 Y 0.5000 0.5000 0.5000
# raw total energy = -5.04 eV/atom
# spin magnetization = 0.000 μB per formula unit
# energy above the lowest structure with this stoichiometry = 100 meV per atom
# space group = Fm-3m (225)